(1)
4
Lattice="3.857 0.000 0.000 0.000 5.246 0.000 0.000 0.000 5.246" Properties=species:S:1:pos:R:3 comment="Y2PbCl SCAN PBEsol geometry" raw_formation_energy_mev_per_atom=-1231 magnetic_moment_mub_per_fu=0.00 dos_at_fermi_per_ev_cell=2.2 pbc="T T T"
Y 2.913 2.623 0.000
Y 2.913 0.000 2.623
Pb 0.986 2.623 2.623
Cl 2.922 0.000 0.000


(2)
4
Lattice="3.260 0.000 0.380 0.000 5.686 0.000 -0.764 0.000 4.641" Properties=species:S:1:pos:R:3 comment="Zn2PbCl SCAN PBEsol geometry" raw_formation_energy_mev_per_atom=-4 magnetic_moment_mub_per_fu=0.00 de_polymorph_mev_per_atom=112 dos_at_fermi_per_ev_cell=1.1 pbc="T T T"
Zn 0.528 0.000 1.266
Zn 1.967 0.000 3.756
Cl 1.630 2.843 0.190
Pb -0.382 2.843 2.321


(3)
4
Lattice="3.484 0.000 0.000 -1.742 5.119 -0.076 0.000 -1.024 5.625" Properties=species:S:1:pos:R:3 comment="ZnPb2Cl SCAN PBEsol geometry" raw_formation_energy_mev_per_atom=-141 magnetic_moment_mub_per_fu=0.00 de_polymorph_mev_per_atom=80 dos_at_fermi_per_ev_cell=1.4 pbc="T T T"
Zn 0.000 -0.512 2.812
Pb 0.000 2.572 1.396
Pb 1.742 1.523 4.153
Cl 1.742 0.000 0.000


(4)
4
Lattice="-1.575 -0.664 -4.642 3.045 -1.914 -3.395 -0.774 -4.573 -1.719" Properties=species:S:1:pos:R:3 comment="Zn2PbCl SCAN PBEsol geometry" raw_formation_energy_mev_per_atom=182 magnetic_moment_mub_per_fu=0.00 de_polymorph_mev_per_atom=297 dos_at_fermi_per_ev_cell=3.5 pbc="T T T"
Cl 0.000 0.000 0.000
Zn 0.522 -5.363 -7.317
Zn 0.174 -1.788 -2.439
Pb 0.348 -3.575 -4.878


(5)
4
Lattice="-1.775 -2.813 0.731 0.410 0.392 -5.529 4.887 -3.045 0.147" Properties=species:S:1:pos:R:3 comment="ZnPb2Cl SCAN PBEsol geometry" raw_formation_energy_mev_per_atom=-221 magnetic_moment_mub_per_fu=0.00 de_polymorph_mev_per_atom=0 dos_at_fermi_per_ev_cell=1.0 pbc="T T T"
Pb 1.834 -2.521 -0.327
Pb -1.499 -2.403 0.061
Zn 0.006 -0.154 -3.407
Cl 1.612 -3.006 -3.010


(6)
3
Lattice="4.937 0.000 0.000 2.468 4.275 0.000 2.468 1.425 4.031" Properties=species:S:1:pos:R:3 comment="ZnPbCl SCAN PBEsol geometry" raw_formation_energy_mev_per_atom=10 magnetic_moment_mub_per_fu=0.00 de_polymorph_mev_per_atom=361 dos_at_fermi_per_ev_cell=1.7 pbc="T T T"
Zn 0.000 0.000 0.000
Cl 4.937 2.850 2.015
Pb 2.468 1.425 1.008


(7)
3
Lattice="-0.178 -3.022 1.558 2.090 -2.573 -1.031 4.837 0.613 5.463" Properties=species:S:1:pos:R:3 comment="ZnPbCl SCAN PBEsol geometry" raw_formation_energy_mev_per_atom=-352 magnetic_moment_mub_per_fu=0.00 de_polymorph_mev_per_atom=0 dos_at_fermi_per_ev_cell=1.0 pbc="T T T"
Zn 3.273 -1.534 4.839
Cl 4.490 0.463 5.133
Pb 1.733 -0.725 2.511


(8)
4
Lattice="3.314 0.000 0.000 0.000 3.314 0.000 0.000 0.000 8.966" Properties=species:S:1:pos:R:3 comment="ZnPb2Cl SCAN PBEsol geometry" raw_formation_energy_mev_per_atom=-151 magnetic_moment_mub_per_fu=0.00 de_polymorph_mev_per_atom=70 dos_at_fermi_per_ev_cell=1.7 pbc="T T T"
Zn 0.000 0.000 4.728
Pb 0.000 0.000 0.008
Pb 1.657 1.657 2.595
Cl 1.657 1.657 6.118


(9)
4
Lattice="-3.605 0.527 -0.488 -0.609 -3.568 0.642 -0.672 1.253 6.324" Properties=species:S:1:pos:R:3 comment="Zn2PbCl SCAN PBEsol geometry" raw_formation_energy_mev_per_atom=-116 magnetic_moment_mub_per_fu=0.00 de_polymorph_mev_per_atom=0 dos_at_fermi_per_ev_cell=0.8 pbc="T T T"
Zn -0.014 0.026 0.129
Zn -2.274 -1.210 1.646
Cl -0.280 0.522 2.636
Pb -2.655 -0.499 5.230


(10)
4
Lattice="3.397 0.000 -0.055 0.000 5.024 0.000 -0.361 0.000 5.872" Properties=species:S:1:pos:R:3 comment="ZnPb2Cl SCAN PBEsol geometry" raw_formation_energy_mev_per_atom=-121 magnetic_moment_mub_per_fu=0.00 de_polymorph_mev_per_atom=100 dos_at_fermi_per_ev_cell=1.4 pbc="T T T"
Pb 0.772 0.000 1.413
Pb 2.264 0.000 4.405
Zn 1.698 2.512 -0.028
Cl -0.180 2.512 2.936


(11)
4
Lattice="3.355 0.000 0.000 0.000 4.846 0.000 -1.678 -2.423 5.303" Properties=species:S:1:pos:R:3 comment="Zn2PbCl SCAN PBEsol geometry" raw_formation_energy_mev_per_atom=19 magnetic_moment_mub_per_fu=0.00 de_polymorph_mev_per_atom=135 dos_at_fermi_per_ev_cell=1.6 pbc="T T T"
Cl 1.678 0.000 0.000
Pb 0.000 2.423 0.000
Zn 1.678 2.423 2.588
Zn 0.000 0.000 2.716


(12)
4
Lattice="3.271 0.000 0.000 0.000 5.629 -0.048 -1.636 -2.020 5.415" Properties=species:S:1:pos:R:3 comment="ZrPb2Cl SCAN PBEsol geometry" raw_formation_energy_mev_per_atom=-580 magnetic_moment_mub_per_fu=0.00 de_polymorph_mev_per_atom=0 dos_at_fermi_per_ev_cell=1.3 pbc="T T T"
Cl 0.000 3.573 1.928
Pb 1.636 0.774 3.288
Pb 1.636 3.438 5.009
Zr 1.636 2.248 0.485


(13)
4
Lattice="3.317 0.000 0.000 0.000 4.815 0.000 -1.659 0.000 5.744" Properties=species:S:1:pos:R:3 comment="ZrPbCl2 SCAN PBEsol geometry" raw_formation_energy_mev_per_atom=-1017 magnetic_moment_mub_per_fu=0.00 dos_at_fermi_per_ev_cell=0.8 pbc="T T T"
Pb 1.659 0.000 4.722
Cl 0.000 0.000 2.244
Cl 1.659 2.408 1.311
Zr 0.000 2.408 3.246


(14)
4
Lattice="-2.162 0.062 -2.335 3.802 -1.710 -3.567 -1.324 -5.212 1.088" Properties=species:S:1:pos:R:3 comment="ZrPb2Cl SCAN PBEsol geometry" raw_formation_energy_mev_per_atom=-383 magnetic_moment_mub_per_fu=0.00 de_polymorph_mev_per_atom=198 dos_at_fermi_per_ev_cell=1.5 pbc="T T T"
Zr 0.158 -3.430 -2.407
Pb 1.901 -0.855 -1.783
Pb -0.662 -2.606 0.544
Cl -1.081 0.031 -1.167


(15)
6
Lattice="5.710 0.000 0.000 2.855 4.945 0.000 2.855 1.648 4.662" Properties=species:S:1:pos:R:3 comment="ZrPbCl4 SCAN PBEsol geometry" raw_formation_energy_mev_per_atom=96 magnetic_moment_mub_per_fu=1.95 dos_at_fermi_per_ev_cell=4.6 pbc="T T T"
Cl 5.710 1.636 2.918
Cl 5.710 3.296 0.569
Cl 4.271 4.127 2.918
Cl 7.148 4.127 2.918
Zr 0.000 0.000 0.000
Pb 2.855 1.648 1.165


(16)
5
Lattice="4.693 0.000 0.000 0.000 4.693 0.000 0.000 0.000 4.693" Properties=species:S:1:pos:R:3 comment="PdPtCl3 SCAN PBEsol geometry" raw_formation_energy_mev_per_atom=489 magnetic_moment_mub_per_fu=1.05 dos_at_fermi_per_ev_cell=7.1 pbc="T T T"
Cl 2.347 0.000 0.000
Cl 0.000 0.000 2.347
Cl 0.000 2.347 0.000
Pd 0.000 0.000 0.000
Pt 2.347 2.347 2.347


(17)
5
Lattice="4.882 0.000 0.000 0.000 4.882 0.000 0.000 0.000 4.882" Properties=species:S:1:pos:R:3 comment="RbPdCl3 SCAN PBEsol geometry" raw_formation_energy_mev_per_atom=-1269 magnetic_moment_mub_per_fu=0.00 dos_at_fermi_per_ev_cell=1.0 pbc="T T T"
Pd 0.000 0.000 0.000
Cl 0.000 0.000 2.441
Cl 0.000 2.441 0.000
Cl 2.441 0.000 0.000
Rb 2.441 2.441 2.441


(18)
5
Lattice="4.382 0.000 0.000 0.000 6.449 0.000 0.000 0.000 6.449" Properties=species:S:1:pos:R:3 comment="Rb2TePdCl SCAN PBEsol geometry" raw_formation_energy_mev_per_atom=-684 magnetic_moment_mub_per_fu=0.00 dos_at_fermi_per_ev_cell=4.7 pbc="T T T"
Rb 0.000 3.225 0.000
Rb 0.000 0.000 3.225
Cl 2.191 0.000 0.000
Pd 0.000 0.000 0.000
Te 2.191 3.225 3.225


(19)
5
Lattice="4.722 0.000 0.000 0.000 4.722 0.000 0.000 0.000 4.722" Properties=species:S:1:pos:R:3 comment="PdRhCl3 SCAN PBEsol geometry" raw_formation_energy_mev_per_atom=245 magnetic_moment_mub_per_fu=2.09 dos_at_fermi_per_ev_cell=6.4 pbc="T T T"
Pd 0.000 0.000 0.000
Cl 2.361 0.000 0.000
Cl 0.000 0.000 2.361
Cl 0.000 2.361 0.000
Rh 2.361 2.361 2.361


(20)
5
Lattice="-0.065 0.174 5.135 -4.695 -2.035 0.010 2.034 -4.692 0.185" Properties=species:S:1:pos:R:3 comment="TlPdRhCl2 SCAN PBEsol geometry" raw_formation_energy_mev_per_atom=859 magnetic_moment_mub_per_fu=1.32 dos_at_fermi_per_ev_cell=2.0 pbc="T T T"
Cl 1.017 -2.346 0.092
Cl -2.348 -1.017 0.005
Rh -0.032 0.087 2.568
Pd -1.363 -3.276 2.665
Tl 0.000 0.000 0.000